(1)
The following is a GGA-PBE calculation of a geometry-optimized CeSi2Pd2Rh structure, from Alexandria via LeMat-Bulk.

Cell and atoms, written as CIF:
```
data_CeSi2Pd2Rh
_space_group_name_H-M_alt 'P 4/m m m'
_space_group_IT_number 123
_space_group_name_Hall '-P 4 2'
_cell_length_a 4.5825
_cell_length_b 4.5825
_cell_length_c 5.4437
_cell_angle_alpha 90.00
_cell_angle_beta 90.00
_cell_angle_gamma 90.00
loop_
_atom_site_label
_atom_site_fract_x
_atom_site_fract_y
_atom_site_fract_z
Ce1 0.0000 0.0000 0.0000
Si1 0.0000 0.5000 0.5000
Pd1 0.5000 0.5000 0.2482
Rh1 0.0000 0.0000 0.5000
```

Computed properties:
Theoretical density ... 7.44 g/cm³
Raw total energy ... -6.234 eV per atom
Uncorrected formation energy ... -0.48 eV per atom


(2)
The following is a GGA-PBE calculation of a geometry-optimized Ce3Si6PdRh2 structure, from Alexandria via LeMat-Bulk.

Cell and atoms, written as CIF:
```
data_Ce3Si6PdRh2
_space_group_name_H-M_alt 'P -3 m 1'
_space_group_IT_number 164
_space_group_name_Hall '-P 3 2"'
_cell_length_a 5.8552
_cell_length_b 5.8552
_cell_length_c 7.6114
_cell_angle_alpha 90.00
_cell_angle_beta 90.00
_cell_angle_gamma 120.00
loop_
_atom_site_label
_atom_site_fract_x
_atom_site_fract_y
_atom_site_fract_z
Ce1 0.0000 0.0000 0.0000
Ce2 0.3333 0.6667 0.6485
Si1 0.1940 0.3880 0.2921
Pd1 0.0000 0.0000 0.5000
Rh1 0.3333 0.6667 0.0340
```

Computed properties:
Theoretical density ... 6.62 g/cm³
Raw total energy ... -6.350 eV per atom
Uncorrected formation energy ... -0.50 eV per atom


(3)
The following is a GGA-PBE calculation of a geometry-optimized Ce2SnPdRh5 structure, from Alexandria via LeMat-Bulk.

Cell and atoms, written as CIF:
```
data_Ce2SnPdRh5
_space_group_name_H-M_alt 'I 4/m c m'
_space_group_IT_number 140
_space_group_name_Hall '-I 4 2c'
_cell_length_a 8.1202
_cell_length_b 8.1202
_cell_length_c 10.6774
_cell_angle_alpha 90.00
_cell_angle_beta 90.00
_cell_angle_gamma 90.00
loop_
_atom_site_label
_atom_site_fract_x
_atom_site_fract_y
_atom_site_fract_z
Ce1 0.1389 0.3611 0.0000
Sn1 0.0000 0.0000 0.2500
Pd1 0.0000 0.5000 0.2500
Rh1 0.0000 0.0000 0.0000
Rh2 0.2002 0.2998 0.3639
```

Computed properties:
Theoretical density ... 9.62 g/cm³
Raw total energy ... -6.674 eV per atom
Formation enthalpy at 0 K ... -0.2496 eV/atom


(4)
The following is a GGA-PBE calculation of a geometry-optimized SrCePdRh structure, from Alexandria via LeMat-Bulk.

Cell and atoms, written as CIF:
```
data_SrCePdRh
_space_group_name_H-M_alt 'F -4 3 m'
_space_group_IT_number 216
_space_group_name_Hall 'F -4 2 3'
_cell_length_a 7.1650
_cell_length_b 7.1650
_cell_length_c 7.1650
_cell_angle_alpha 90.00
_cell_angle_beta 90.00
_cell_angle_gamma 90.00
loop_
_atom_site_label
_atom_site_fract_x
_atom_site_fract_y
_atom_site_fract_z
Sr1 0.0000 0.0000 0.0000
Ce1 0.0000 0.0000 0.5000
Pd1 0.2500 0.2500 0.7500
Rh1 0.2500 0.2500 0.2500
```

Computed properties:
Theoretical density ... 7.89 g/cm³
Raw total energy ... -5.504 eV per atom
Formation enthalpy at 0 K ... -0.4637 eV/atom


Across the entries above, magnetic moment takes the values 0.86; 0.99; 0.00; 0.52 μB per formula unit, respectively.